VASP calculation (PBE) on an optimized crystal structure of TlNiRh2.

Results
Size of the total moment = 0.797 μB/cell
Formation energy from the elements = 0.2744 eV per atom
Density = 12.3 g/cm³

Cell and atoms, written as CIF:
```
data_TlNiRh2
_cell_length_a 2.8703
_cell_length_b 4.3203
_cell_length_c 5.2834
_cell_angle_alpha 90.00
_cell_angle_beta 105.46
_cell_angle_gamma 90.00
_symmetry_space_group_name_H-M 'P 1 m 1'
_symmetry_Int_Tables_number 6
_symmetry_space_group_name_Hall 'P -2y'
loop_
_atom_site_label
_atom_site_type_symbol
_atom_site_fract_x
_atom_site_fract_y
_atom_site_fract_z
Tl1 Tl 0.0000 0.0000 0.0000
Ni1 Ni 0.6005 0.5000 0.2058
Rh1 Rh 0.3206 0.5000 0.6531
Rh2 Rh 0.7345 0.0000 0.4791
```